# CeZnBi, optimized geometry, DFT PBE
# M_tot   0.372 μB per atom
# E   -23.54 eV for the cell shown
# Formation enthalpy at 0 K   -0.228 eV/atom
data_CeZnBi
_symmetry_space_group_name_H-M 'I 4 m m'
_symmetry_Int_Tables_number 107
_symmetry_space_group_name_Hall 'I 4 -2'
_cell_length_a 4.270
_cell_length_b 4.270
_cell_length_c 9.209
_cell_angle_alpha 90.00
_cell_angle_beta 90.00
_cell_angle_gamma 90.00
loop_
_atom_site_label
_atom_site_type_symbol
_atom_site_fract_x
_atom_site_fract_y
_atom_site_fract_z
Ce1 Ce 0.000 0.000 0.000
Zn1 Zn 0.000 0.000 0.667
Bi1 Bi 0.000 0.000 0.348